Record 1
Here is a geometry-optimized KAgGeIr structure from Alexandria via LeMat-Bulk. Energies are from PBE-GGA.

Cell lengths 4.026, 4.026, 12.612 Å; angles 90.00, 90.00, 90.00 degrees
Sites, in units of the cell vectors:
K 0.250 0.250 0.238
K 0.750 0.750 0.762
Ag 0.250 0.750 0.000
Ag 0.750 0.250 0.000
Ge 0.250 0.250 0.615
Ge 0.750 0.750 0.385
Ir 0.250 0.750 0.500
Ir 0.750 0.250 0.500

**E_form**: -0.156 eV/atom
**Calculated total energy**: -4.51 eV/atom
**Space group**: P4/nmm, No. 129
**Magnetic moment**: 0.0 μB per formula unit

Record 2
Here is a geometry-optimized La2AgGe3Ir4 structure from Alexandria via LeMat-Bulk. Energies are from PBE-GGA.

Cell lengths 4.234, 4.234, 10.837 Å; angles 90.00, 90.00, 90.00 degrees
Sites, in units of the cell vectors:
La 0.000 0.500 0.249
La 0.500 0.000 0.751
Ag 0.500 0.500 0.000
Ge 0.000 0.000 0.000
Ge 0.000 0.500 0.623
Ge 0.500 0.000 0.377
Ir 0.000 0.000 0.500
Ir 0.000 0.500 0.850
Ir 0.500 0.000 0.150
Ir 0.500 0.500 0.500

**E_form**: -0.636 eV/atom
**Calculated total energy**: -6.84 eV/atom
**Space group**: P-4m2, No. 115
**Magnetic moment**: 0.0 μB per formula unit

Record 3
Here is a geometry-optimized Ag2GeMoIr structure from Alexandria via LeMat-Bulk. Energies are from PBE-GGA.

Cell lengths 4.755, 4.755, 4.632 Å; angles 90.00, 90.00, 90.00 degrees
Sites, in units of the cell vectors:
Ag 0.000 0.500 0.000
Ag 0.500 0.000 0.000
Ge 0.000 0.000 0.000
Mo 0.500 0.500 0.500
Ir 0.000 0.000 0.500

**E_form**: 1.161 eV/atom
**Calculated total energy**: -4.84 eV/atom
**Space group**: P4/mmm, No. 123
**Magnetic moment**: 4.1 μB per formula unit

Record 4
Here is a geometry-optimized Nd2AgGe4Ir3 structure from Alexandria via LeMat-Bulk. Energies are from PBE-GGA.

Cell lengths 4.353, 4.353, 10.160 Å; angles 90.00, 90.00, 90.00 degrees
Sites, in units of the cell vectors:
Nd 0.000 0.500 0.238
Nd 0.500 0.000 0.762
Ag 0.000 0.000 0.500
Ge 0.000 0.000 0.000
Ge 0.000 0.500 0.638
Ge 0.500 0.000 0.362
Ge 0.500 0.500 0.000
Ir 0.000 0.500 0.878
Ir 0.500 0.000 0.122
Ir 0.500 0.500 0.500

**E_form**: -0.647 eV/atom
**Calculated total energy**: -6.39 eV/atom
**Space group**: P-4m2, No. 115
**Magnetic moment**: 0.0 μB per formula unit

Record 5
Here is a geometry-optimized AgGe2IrPt structure from Alexandria via LeMat-Bulk. Energies are from PBE-GGA.

Cell lengths 4.623, 4.623, 5.195 Å; angles 90.00, 90.00, 90.00 degrees
Sites, in units of the cell vectors:
Ag 0.000 0.000 0.000
Ge 0.000 0.500 0.500
Ge 0.500 0.000 0.500
Ir 0.000 0.000 0.500
Pt 0.500 0.500 0.000

**E_form**: 0.572 eV/atom
**Calculated total energy**: -4.83 eV/atom
**Space group**: P4/mmm, No. 123
**Magnetic moment**: 0.0 μB per formula unit

Record 6
Here is a geometry-optimized Ag2GeIrS structure from Alexandria via LeMat-Bulk. Energies are from PBE-GGA.

Cell lengths 5.253, 5.253, 4.231 Å; angles 90.00, 90.00, 90.00 degrees
Sites, in units of the cell vectors:
Ag 0.000 0.500 0.000
Ag 0.500 0.000 0.000
Ge 0.000 0.000 0.500
Ir 0.500 0.500 0.000
S 0.500 0.500 0.500

**Calculated total energy**: -4.01 eV/atom
**Energy relative to the elements, uncorrected**: 0.6513 eV per atom
**Space group**: P4/mmm, No. 123
**Magnetic moment**: 0.0 μB per formula unit

Record 7
Here is a geometry-optimized Sm2AgGe4Ir3 structure from Alexandria via LeMat-Bulk. Energies are from PBE-GGA.

Cell lengths 4.327, 4.327, 10.159 Å; angles 90.00, 90.00, 90.00 degrees
Sites, in units of the cell vectors:
Sm 0.000 0.500 0.238
Sm 0.500 0.000 0.762
Ag 0.000 0.000 0.500
Ge 0.000 0.000 0.000
Ge 0.000 0.500 0.638
Ge 0.500 0.000 0.362
Ge 0.500 0.500 0.000
Ir 0.000 0.500 0.877
Ir 0.500 0.000 0.123
Ir 0.500 0.500 0.500

**E_form**: -0.640 eV/atom
**Calculated total energy**: -6.37 eV/atom
**Space group**: P-4m2, No. 115
**Magnetic moment**: 0.0 μB per formula unit

Record 8
Here is a geometry-optimized Sr2AgGe4Ir3 structure from Alexandria via LeMat-Bulk. Energies are from PBE-GGA.

Cell lengths 4.423, 4.423, 10.200 Å; angles 90.00, 90.00, 90.00 degrees
Sites, in units of the cell vectors:
Sr 0.000 0.500 0.244
Sr 0.500 0.000 0.756
Ag 0.000 0.000 0.500
Ge 0.000 0.000 0.000
Ge 0.000 0.500 0.634
Ge 0.500 0.000 0.366
Ge 0.500 0.500 0.000
Ir 0.000 0.500 0.879
Ir 0.500 0.000 0.121
Ir 0.500 0.500 0.500

**E_form**: -0.481 eV/atom
**Calculated total energy**: -5.61 eV/atom
**Space group**: P-4m2, No. 115
**Magnetic moment**: 0.0 μB per formula unit

Record 9
Here is a geometry-optimized Sr2AgGeIr structure from Alexandria via LeMat-Bulk. Energies are from PBE-GGA.

Cell lengths 5.873, 5.873, 4.672 Å; angles 90.00, 90.00, 90.00 degrees
Sites, in units of the cell vectors:
Sr 0.000 0.500 0.000
Sr 0.500 0.000 0.000
Ag 0.000 0.000 0.500
Ge 0.500 0.500 0.500
Ir 0.500 0.500 0.000

**E_form**: -0.252 eV/atom
**Calculated total energy**: -4.19 eV/atom
**Space group**: P4/mmm, No. 123
**Magnetic moment**: 0.0 μB per formula unit

Record 10
Here is a geometry-optimized TaAg2GeIr structure from Alexandria via LeMat-Bulk. Energies are from PBE-GGA.

Cell lengths 4.980, 4.980, 4.862 Å; angles 90.00, 90.00, 90.00 degrees
Sites, in units of the cell vectors:
Ta 0.000 0.000 0.000
Ag 0.000 0.500 0.000
Ag 0.500 0.000 0.000
Ge 0.000 0.000 0.500
Ir 0.500 0.500 0.500

**E_form**: 1.923 eV/atom
**Calculated total energy**: -4.28 eV/atom
**Space group**: P4/mmm, No. 123
**Magnetic moment**: 0.0 μB per formula unit

Record 11
Here is a geometry-optimized TcAg2GeIr structure from Alexandria via LeMat-Bulk. Energies are from PBE-GGA.

Cell lengths 4.965, 4.965, 4.613 Å; angles 90.00, 90.00, 90.00 degrees
Sites, in units of the cell vectors:
Tc 0.000 0.000 0.000
Ag 0.000 0.500 0.000
Ag 0.500 0.000 0.000
Ge 0.000 0.000 0.500
Ir 0.500 0.500 0.500

**E_form**: 1.758 eV/atom
**Calculated total energy**: -4.15 eV/atom
**Space group**: P4/mmm, No. 123
**Magnetic moment**: 2.3 μB per formula unit

Record 12
Here is a geometry-optimized KAg2Ge2 structure from Alexandria via LeMat-Bulk. Energies are from PBE-GGA.

Cell lengths 8.563, 8.563, 2.949 Å; angles 90.00, 90.00, 90.00 degrees
Sites, in units of the cell vectors:
K 0.000 0.000 0.000
K 0.500 0.500 0.000
Ag 0.139 0.361 0.000
Ag 0.361 0.861 0.000
Ag 0.639 0.139 0.000
Ag 0.861 0.639 0.000
Ge 0.149 0.649 0.500
Ge 0.351 0.149 0.500
Ge 0.649 0.851 0.500
Ge 0.851 0.351 0.500

**E_form**: 0.089 eV/atom
**Calculated total energy**: -3.12 eV/atom
**Space group**: P4/mbm, No. 127
**Magnetic moment**: 0.0 μB per formula unit

Record 13
Here is a geometry-optimized KAg3Ge structure from Alexandria via LeMat-Bulk. Energies are from PBE-GGA.

Cell lengths 5.078, 5.078, 5.078 Å; angles 90.00, 90.00, 90.00 degrees
Sites, in units of the cell vectors:
K 0.000 0.000 0.000
Ag 0.000 0.500 0.500
Ag 0.500 0.000 0.500
Ag 0.500 0.500 0.000
Ge 0.500 0.500 0.500

**E_form**: 0.038 eV/atom
**Calculated total energy**: -2.82 eV/atom
**Space group**: Pm-3m, No. 221
**Magnetic moment**: 0.0 μB per formula unit

Record 14
Here is a geometry-optimized KAgGe3 structure from Alexandria via LeMat-Bulk. Energies are from PBE-GGA.

Cell lengths 5.497, 5.497, 5.497 Å; angles 90.00, 90.00, 90.00 degrees
Sites, in units of the cell vectors:
K 0.000 0.000 0.000
Ag 0.500 0.500 0.500
Ge 0.000 0.000 0.500
Ge 0.000 0.500 0.000
Ge 0.500 0.000 0.000

**E_form**: 1.611 eV/atom
**Calculated total energy**: -1.95 eV/atom
**Space group**: Pm-3m, No. 221
**Magnetic moment**: 0.0 μB per formula unit

Record 15
Here is a geometry-optimized KAg2Ge2 structure from Alexandria via LeMat-Bulk. Energies are from PBE-GGA.

Cell lengths 8.608, 8.608, 2.916 Å; angles 90.00, 90.00, 90.00 degrees
Sites, in units of the cell vectors:
K 0.000 0.000 0.000
K 0.500 0.500 0.000
Ag 0.149 0.351 0.500
Ag 0.351 0.851 0.500
Ag 0.649 0.149 0.500
Ag 0.851 0.649 0.500
Ge 0.140 0.640 0.000
Ge 0.360 0.140 0.000
Ge 0.640 0.860 0.000
Ge 0.860 0.360 0.000

**E_form**: 0.091 eV/atom
**Calculated total energy**: -3.12 eV/atom
**Space group**: P4/mbm, No. 127
**Magnetic moment**: 0.0 μB per formula unit

Record 16
Here is a geometry-optimized KAgGe3 structure from Alexandria via LeMat-Bulk. Energies are from PBE-GGA.

Cell lengths 5.173, 5.173, 5.173 Å; angles 90.00, 90.00, 90.00 degrees
Sites, in units of the cell vectors:
K 0.000 0.000 0.000
Ag 0.500 0.500 0.500
Ge 0.000 0.500 0.500
Ge 0.500 0.000 0.500
Ge 0.500 0.500 0.000

**E_form**: 0.488 eV/atom
**Calculated total energy**: -3.07 eV/atom
**Space group**: Pm-3m, No. 221
**Magnetic moment**: 0.0 μB per formula unit

Record 17
Here is a geometry-optimized K3Ag2Ge4 structure from Alexandria via LeMat-Bulk. Energies are from PBE-GGA.

Cell lengths 4.531, 6.688, 9.445 Å; angles 108.13, 93.49, 108.64 degrees
Sites, in units of the cell vectors:
K 0.000 0.000 0.000
K 0.386 0.738 0.622
K 0.614 0.262 0.378
Ag 0.311 0.679 0.225
Ag 0.689 0.321 0.775
Ge 0.092 0.162 0.632
Ge 0.304 0.546 0.915
Ge 0.696 0.454 0.085
Ge 0.908 0.838 0.368

**E_form**: -0.021 eV/atom
**Calculated total energy**: -3.07 eV/atom
**Space group**: P-1, No. 2
**Magnetic moment**: 0.0 μB per formula unit

Record 18
Here is a geometry-optimized KAg4Ge structure from Alexandria via LeMat-Bulk. Energies are from PBE-GGA.

Cell lengths 7.411, 4.543, 8.702 Å; angles 90.00, 90.00, 90.00 degrees
Sites, in units of the cell vectors:
K 0.250 0.000 0.116
K 0.750 0.000 0.884
Ag 0.000 0.000 0.500
Ag 0.059 0.500 0.734
Ag 0.250 0.500 0.444
Ag 0.441 0.500 0.734
Ag 0.500 0.000 0.500
Ag 0.559 0.500 0.266
Ag 0.750 0.500 0.556
Ag 0.941 0.500 0.266
Ge 0.250 0.000 0.730
Ge 0.750 0.000 0.270

**E_form**: 0.084 eV/atom
**Calculated total energy**: -2.77 eV/atom
**Space group**: Pmma, No. 51
**Magnetic moment**: 0.0 μB per formula unit

Record 19
Here is a geometry-optimized KAg3Ge structure from Alexandria via LeMat-Bulk. Energies are from PBE-GGA.

Cell lengths 9.006, 9.006, 6.252 Å; angles 100.50, 100.50, 63.75 degrees
Sites, in units of the cell vectors:
K 0.016 0.984 0.750
K 0.359 0.641 0.750
K 0.641 0.359 0.250
K 0.984 0.016 0.250
Ag 0.029 0.349 0.589
Ag 0.034 0.341 0.099
Ag 0.317 0.320 0.412
Ag 0.320 0.317 0.912
Ag 0.341 0.034 0.599
Ag 0.349 0.029 0.089
Ag 0.651 0.971 0.911
Ag 0.659 0.966 0.401
Ag 0.680 0.683 0.088
Ag 0.683 0.680 0.588
Ag 0.966 0.659 0.901
Ag 0.971 0.651 0.411
Ge 0.225 0.599 0.204
Ge 0.401 0.775 0.296
Ge 0.599 0.225 0.704
Ge 0.775 0.401 0.796

**E_form**: 0.031 eV/atom
**Calculated total energy**: -2.82 eV/atom
**Space group**: C2/c, No. 15
**Magnetic moment**: 0.0 μB per formula unit

Record 20
Here is a geometry-optimized KAg4Ge structure from Alexandria via LeMat-Bulk. Energies are from PBE-GGA.

Cell lengths 5.691, 5.691, 5.691 Å; angles 60.00, 60.00, 60.00 degrees
Sites, in units of the cell vectors:
K 0.000 0.000 0.000
Ag 0.127 0.624 0.624
Ag 0.624 0.127 0.624
Ag 0.624 0.624 0.127
Ag 0.624 0.624 0.624
Ge 0.250 0.250 0.250

**E_form**: 0.166 eV/atom
**Calculated total energy**: -2.69 eV/atom
**Space group**: F-43m, No. 216
**Magnetic moment**: 0.0 μB per formula unit

| no. | mass density (g/cm3) |
| --- | --- |
| 1 | 6.69 |
| 2 | 11.73 |
| 3 | 9.14 |
| 4 | 10.90 |
| 5 | 9.58 |
| 6 | 7.29 |
| 7 | 11.14 |
| 8 | 9.57 |
| 9 | 5.65 |
| 10 | 9.11 |
| 11 | 8.45 |
| 12 | 6.15 |
| 13 | 5.52 |
| 14 | 3.65 |
| 15 | 6.15 |
| 16 | 4.38 |
| 17 | 4.08 |
| 18 | 6.16 |
| 19 | 6.51 |
| 20 | 6.92 |